<i>
The following is a DFT calculation (PBE-GGA) of an optimized crystal structure of ZnCd3Bi.

Structure (CIF):
```
data_ZnCd3Bi
_chemical_formula_sum 'Zn1 Cd3 Bi1'
_cell_length_a 5.1362
_cell_length_b 5.1362
_cell_length_c 5.1362
_cell_angle_alpha 90.00
_cell_angle_beta 90.00
_cell_angle_gamma 90.00
_symmetry_space_group_name_H-M 'P m -3 m'
_symmetry_Int_Tables_number 221
_symmetry_space_group_name_Hall '-P 4 2 3'
loop_
_atom_site_label
_atom_site_type_symbol
_atom_site_fract_x
_atom_site_fract_y
_atom_site_fract_z
Zn1 Zn 0.0000 0.0000 0.0000
Cd1 Cd 0.0000 0.0000 0.5000
Bi1 Bi 0.5000 0.5000 0.5000
```

Computed properties:
Magnetic moment = 0.00 μB/f.u.

<ii>
The following is a DFT calculation (PBE-GGA) of an optimized crystal structure of ZnCd3Bi.

Structure (CIF):
```
data_ZnCd3Bi
_chemical_formula_sum 'Zn1 Cd3 Bi1'
_cell_length_a 5.9241
_cell_length_b 5.9241
_cell_length_c 5.9241
_cell_angle_alpha 90.00
_cell_angle_beta 90.00
_cell_angle_gamma 90.00
_symmetry_space_group_name_H-M 'P m -3 m'
_symmetry_Int_Tables_number 221
_symmetry_space_group_name_Hall '-P 4 2 3'
loop_
_atom_site_label
_atom_site_type_symbol
_atom_site_fract_x
_atom_site_fract_y
_atom_site_fract_z
Zn1 Zn 0.0000 0.0000 0.0000
Cd1 Cd 0.0000 0.5000 0.5000
Bi1 Bi 0.5000 0.5000 0.5000
```

Computed properties:
Magnetic moment = 0.00 μB/f.u.

Stability verdict: <i>, ahead by 170 meV per atom

<i>
The following is a DFT calculation (PBE-GGA) of an optimized crystal structure of ZnCd2Bi2.

Structure (CIF):
```
data_ZnCd2Bi2
_chemical_formula_sum 'Zn2 Cd4 Bi4'
_cell_length_a 7.9604
_cell_length_b 7.9604
_cell_length_c 4.5265
_cell_angle_alpha 90.00
_cell_angle_beta 90.00
_cell_angle_gamma 90.00
_symmetry_space_group_name_H-M 'P 4/m b m'
_symmetry_Int_Tables_number 127
_symmetry_space_group_name_Hall '-P 4 2ab'
loop_
_atom_site_label
_atom_site_type_symbol
_atom_site_fract_x
_atom_site_fract_y
_atom_site_fract_z
Zn1 Zn 0.0000 0.0000 0.0000
Cd1 Cd 0.1309 0.3691 0.5000
Bi1 Bi 0.1825 0.6825 0.0000
```

Computed properties:
Magnetic moment = 0.00 μB/f.u.

<ii>
The following is a DFT calculation (PBE-GGA) of an optimized crystal structure of ZnCd2Bi2.

Structure (CIF):
```
data_ZnCd2Bi2
_chemical_formula_sum 'Zn2 Cd4 Bi4'
_cell_length_a 4.2004
_cell_length_b 4.2004
_cell_length_c 15.9504
_cell_angle_alpha 90.00
_cell_angle_beta 90.00
_cell_angle_gamma 90.00
_symmetry_space_group_name_H-M 'I 4/m m m'
_symmetry_Int_Tables_number 139
_symmetry_space_group_name_Hall '-I 4 2'
loop_
_atom_site_label
_atom_site_type_symbol
_atom_site_fract_x
_atom_site_fract_y
_atom_site_fract_z
Zn1 Zn 0.0000 0.0000 0.0000
Cd1 Cd 0.0000 0.5000 0.2500
Bi1 Bi 0.0000 0.0000 0.3951
```

Computed properties:
Magnetic moment = 0.00 μB/f.u.

Stability verdict: <i>, ahead by 18 meV per atom